{"formula": "ErGe2Os", "functional": "PBE-GGA", "state": "relaxed", "lattice_angstrom": [[9.630, 0.000, 0.000], [0.000, 10.616, 0.000], [0.000, 0.000, 8.342]], "species": ["Er", "Er", "Er", "Er", "Er", "Er", "Er", "Er", "Er", "Er", "Er", "Er", "Ge", "Ge", "Ge", "Ge", "Ge", "Ge", "Ge", "Ge", "Ge", "Ge", "Ge", "Ge", "Ge", "Ge", "Ge", "Ge", "Ge", "Ge", "Ge", "Ge", "Ge", "Ge", "Ge", "Ge", "Os", "Os", "Os", "Os", "Os", "Os", "Os", "Os", "Os", "Os", "Os", "Os"], "fractional_positions": [[0.164, 0.177, 0.000], [0.178, 0.448, 0.249], [0.178, 0.448, 0.751], [0.322, 0.948, 0.249], [0.322, 0.948, 0.751], [0.336, 0.677, 0.000], [0.664, 0.323, 0.000], [0.678, 0.052, 0.249], [0.678, 0.052, 0.751], [0.822, 0.552, 0.249], [0.822, 0.552, 0.751], [0.836, 0.823, 0.000], [0.038, 0.616, 0.000], [0.044, 0.616, 0.500], [0.123, 0.899, 0.500], [0.130, 0.896, 0.000], [0.160, 0.179, 0.349], [0.160, 0.179, 0.651], [0.340, 0.679, 0.349], [0.340, 0.679, 0.651], [0.370, 0.396, 0.000], [0.377, 0.399, 0.500], [0.456, 0.116, 0.500], [0.462, 0.116, 0.000], [0.538, 0.884, 0.000], [0.544, 0.884, 0.500], [0.623, 0.601, 0.500], [0.630, 0.604, 0.000], [0.660, 0.321, 0.349], [0.660, 0.321, 0.651], [0.840, 0.821, 0.349], [0.840, 0.821, 0.651], [0.870, 0.104, 0.000], [0.877, 0.101, 0.500], [0.956, 0.384, 0.500], [0.962, 0.384, 0.000], [0.000, 0.000, 0.250], [0.000, 0.000, 0.750], [0.085, 0.737, 0.251], [0.085, 0.737, 0.749], [0.415, 0.237, 0.251], [0.415, 0.237, 0.749], [0.500, 0.500, 0.250], [0.500, 0.500, 0.750], [0.585, 0.763, 0.251], [0.585, 0.763, 0.749], [0.915, 0.263, 0.251], [0.915, 0.263, 0.749]], "spacegroup": "No. 55"}


{"formula": "BaTbAg", "functional": "PBE-GGA", "state": "relaxed", "lattice_angstrom": [[7.457, 0.000, 0.000], [0.000, 7.457, 0.000], [0.000, 0.000, 7.457]], "species": ["Ba", "Ba", "Ba", "Ba", "Tb", "Tb", "Tb", "Tb", "Ag", "Ag", "Ag", "Ag"], "fractional_positions": [[0.000, 0.000, 0.000], [0.000, 0.500, 0.500], [0.500, 0.000, 0.500], [0.500, 0.500, 0.000], [0.250, 0.250, 0.250], [0.250, 0.750, 0.750], [0.750, 0.250, 0.750], [0.750, 0.750, 0.250], [0.250, 0.250, 0.750], [0.250, 0.750, 0.250], [0.750, 0.250, 0.250], [0.750, 0.750, 0.750]], "e_above_lowest_polymorph_ev_per_fu": 1.60, "spacegroup": "No. 216"}


{"formula": "TmGa6", "functional": "PBE-GGA", "state": "relaxed", "lattice_angstrom": [[5.946, 0.000, 0.000], [0.000, 5.946, 0.000], [0.000, 0.000, 7.543]], "species": ["Tm", "Tm", "Ga", "Ga", "Ga", "Ga", "Ga", "Ga", "Ga", "Ga", "Ga", "Ga", "Ga", "Ga"], "fractional_positions": [[0.250, 0.750, 0.000], [0.750, 0.250, 0.000], [0.074, 0.574, 0.352], [0.074, 0.926, 0.648], [0.250, 0.250, 0.161], [0.250, 0.250, 0.839], [0.426, 0.574, 0.648], [0.426, 0.926, 0.352], [0.574, 0.074, 0.648], [0.574, 0.426, 0.352], [0.750, 0.750, 0.161], [0.750, 0.750, 0.839], [0.926, 0.074, 0.352], [0.926, 0.426, 0.648]], "spacegroup": "No. 125"}


{"formula": "HfW2Au", "functional": "PBE-GGA", "state": "relaxed", "lattice_angstrom": [[6.545, 0.000, 0.000], [0.000, 6.545, 0.000], [0.000, 0.000, 6.545]], "species": ["Hf", "Hf", "Hf", "Hf", "W", "W", "W", "W", "W", "W", "W", "W", "Au", "Au", "Au", "Au"], "fractional_positions": [[0.000, 0.000, 0.000], [0.000, 0.500, 0.500], [0.500, 0.000, 0.500], [0.500, 0.500, 0.000], [0.000, 0.000, 0.500], [0.000, 0.500, 0.000], [0.250, 0.250, 0.250], [0.250, 0.750, 0.750], [0.500, 0.000, 0.000], [0.500, 0.500, 0.500], [0.750, 0.250, 0.750], [0.750, 0.750, 0.250], [0.250, 0.250, 0.750], [0.250, 0.750, 0.250], [0.750, 0.250, 0.250], [0.750, 0.750, 0.750]], "formation_energy_ev_per_fu": 0.658, "spacegroup": "No. 216"}


{"formula": "LaOs2", "functional": "PBE-GGA", "state": "relaxed", "lattice_angstrom": [[5.379, 0.000, 0.000], [-2.690, 4.659, 0.000], [0.000, 0.000, 9.208]], "species": ["La", "La", "La", "La", "Os", "Os", "Os", "Os", "Os", "Os", "Os", "Os"], "fractional_positions": [[0.333, 0.667, 0.065], [0.333, 0.667, 0.435], [0.667, 0.333, 0.565], [0.667, 0.333, 0.935], [0.000, 0.000, 0.000], [0.000, 0.000, 0.500], [0.169, 0.338, 0.750], [0.169, 0.831, 0.750], [0.338, 0.169, 0.250], [0.662, 0.831, 0.750], [0.831, 0.169, 0.250], [0.831, 0.662, 0.250]], "formation_energy_ev_per_fu": -0.219, "spacegroup": "No. 194"}


{"formula": "BaHf15O31", "functional": "PBE-GGA", "state": "relaxed", "lattice_angstrom": [[7.198, 0.000, 0.000], [0.095, 7.401, 0.000], [0.387, 0.151, 10.243]], "species": ["Ba", "Hf", "Hf", "Hf", "Hf", "Hf", "Hf", "Hf", "Hf", "Hf", "Hf", "Hf", "Hf", "Hf", "Hf", "Hf", "O", "O", "O", "O", "O", "O", "O", "O", "O", "O", "O", "O", "O", "O", "O", "O", "O", "O", "O", "O", "O", "O", "O", "O", "O", "O", "O", "O", "O", "O", "O"], "fractional_positions": [[0.000, 0.000, 0.000], [0.023, 0.498, 0.510], [0.045, 0.013, 0.480], [0.267, 0.276, 0.754], [0.267, 0.760, 0.247], [0.274, 0.773, 0.735], [0.287, 0.294, 0.248], [0.508, 0.999, 0.968], [0.519, 0.517, 0.499], [0.521, 0.476, 0.988], [0.527, 0.014, 0.475], [0.768, 0.728, 0.743], [0.770, 0.227, 0.721], [0.781, 0.750, 0.244], [0.792, 0.290, 0.263], [0.998, 0.502, 0.987], [0.022, 0.253, 0.373], [0.022, 0.812, 0.353], [0.027, 0.686, 0.134], [0.043, 0.720, 0.848], [0.049, 0.295, 0.132], [0.060, 0.260, 0.613], [0.251, 0.512, 0.388], [0.261, 0.443, 0.910], [0.271, 0.951, 0.580], [0.287, 0.023, 0.832], [0.290, 0.530, 0.638], [0.304, 0.037, 0.342], [0.309, 0.913, 0.092], [0.364, 0.537, 0.152], [0.480, 0.726, 0.864], [0.481, 0.235, 0.606], [0.493, 0.220, 0.100], [0.519, 0.740, 0.356], [0.537, 0.304, 0.364], [0.547, 0.262, 0.854], [0.564, 0.773, 0.602], [0.683, 0.853, 0.077], [0.739, 0.486, 0.127], [0.740, 0.020, 0.305], [0.741, 0.978, 0.819], [0.750, 0.475, 0.626], [0.762, 0.536, 0.884], [0.785, 0.062, 0.560], [0.805, 0.525, 0.380], [0.982, 0.275, 0.847], [0.986, 0.746, 0.603]], "e_above_lowest_polymorph_ev_per_fu": 0.24, "spacegroup": "No. 1"}


{"formula": "K2Ag2GeSe4", "functional": "PBE-GGA", "state": "relaxed", "lattice_angstrom": [[0.000, 7.040, 11.009], [3.357, 0.000, 11.009], [3.357, 7.040, 0.000]], "species": ["K", "K", "K", "K", "Ag", "Ag", "Ag", "Ag", "Ge", "Ge", "Se", "Se", "Se", "Se", "Se", "Se", "Se", "Se"], "fractional_positions": [[0.061, 0.061, 0.689], [0.311, 0.311, 0.939], [0.689, 0.689, 0.061], [0.939, 0.939, 0.311], [0.301, 0.301, 0.449], [0.449, 0.449, 0.301], [0.551, 0.551, 0.699], [0.699, 0.699, 0.551], [0.125, 0.125, 0.125], [0.875, 0.875, 0.875], [0.097, 0.277, 0.365], [0.239, 0.635, 0.723], [0.277, 0.097, 0.761], [0.365, 0.761, 0.097], [0.635, 0.239, 0.903], [0.723, 0.903, 0.239], [0.761, 0.365, 0.277], [0.903, 0.723, 0.635]], "e_above_lowest_polymorph_ev_per_fu": 0.00, "spacegroup": "No. 70"}


{"formula": "NbTl2Si", "functional": "PBE-GGA", "state": "relaxed", "lattice_angstrom": [[7.023, 0.000, 0.000], [0.000, 7.023, 0.000], [0.000, 0.000, 7.023]], "species": ["Nb", "Nb", "Nb", "Nb", "Tl", "Tl", "Tl", "Tl", "Tl", "Tl", "Tl", "Tl", "Si", "Si", "Si", "Si"], "fractional_positions": [[0.000, 0.000, 0.000], [0.000, 0.500, 0.500], [0.500, 0.000, 0.500], [0.500, 0.500, 0.000], [0.000, 0.000, 0.500], [0.000, 0.500, 0.000], [0.250, 0.250, 0.750], [0.250, 0.750, 0.250], [0.500, 0.000, 0.000], [0.500, 0.500, 0.500], [0.750, 0.250, 0.250], [0.750, 0.750, 0.750], [0.250, 0.250, 0.250], [0.250, 0.750, 0.750], [0.750, 0.250, 0.750], [0.750, 0.750, 0.250]], "spacegroup": "No. 216"}


{"formula": "YZnInSe3", "functional": "PBE-GGA", "state": "relaxed", "lattice_angstrom": [[2.044, -7.326, 0.000], [2.044, 7.326, 0.000], [0.000, 0.000, 10.914]], "species": ["Y", "Y", "Zn", "Zn", "In", "In", "Se", "Se", "Se", "Se", "Se", "Se"], "fractional_positions": [[0.000, 0.000, 0.000], [0.000, 0.000, 0.500], [0.463, 0.537, 0.750], [0.537, 0.463, 0.250], [0.248, 0.752, 0.250], [0.752, 0.248, 0.750], [0.068, 0.932, 0.750], [0.370, 0.630, 0.563], [0.370, 0.630, 0.937], [0.630, 0.370, 0.063], [0.630, 0.370, 0.437], [0.932, 0.068, 0.250]], "e_above_lowest_polymorph_ev_per_fu": 0.01, "spacegroup": "No. 63"}


{"formula": "PaFeSn", "functional": "PBE-GGA", "state": "relaxed", "lattice_angstrom": [[6.705, 0.000, 0.000], [0.000, 6.705, 0.000], [0.000, 0.000, 6.705]], "species": ["Pa", "Pa", "Pa", "Pa", "Fe", "Fe", "Fe", "Fe", "Sn", "Sn", "Sn", "Sn"], "fractional_positions": [[0.000, 0.000, 0.000], [0.000, 0.500, 0.500], [0.500, 0.000, 0.500], [0.500, 0.500, 0.000], [0.250, 0.250, 0.750], [0.250, 0.750, 0.250], [0.750, 0.250, 0.250], [0.750, 0.750, 0.750], [0.250, 0.250, 0.250], [0.250, 0.750, 0.750], [0.750, 0.250, 0.750], [0.750, 0.750, 0.250]], "spacegroup": "No. 216"}


{"formula": "NaGa2Pd2", "functional": "PBE-GGA", "state": "relaxed", "lattice_angstrom": [[4.141, 0.000, 0.000], [0.000, 4.141, 0.000], [0.000, 0.000, 10.931]], "species": ["Na", "Na", "Ga", "Ga", "Ga", "Ga", "Pd", "Pd", "Pd", "Pd"], "fractional_positions": [[0.000, 0.000, 0.000], [0.500, 0.500, 0.500], [0.000, 0.000, 0.383], [0.000, 0.000, 0.617], [0.500, 0.500, 0.117], [0.500, 0.500, 0.883], [0.000, 0.500, 0.250], [0.000, 0.500, 0.750], [0.500, 0.000, 0.250], [0.500, 0.000, 0.750]], "e_above_lowest_polymorph_ev_per_fu": 0.28, "spacegroup": "No. 139"}


{"formula": "CsTbCoTe3", "functional": "PBE-GGA", "state": "relaxed", "lattice_angstrom": [[11.555, 0.000, 0.000], [0.000, 4.434, 0.000], [0.000, 0.000, 16.086]], "species": ["Cs", "Cs", "Cs", "Cs", "Tb", "Tb", "Tb", "Tb", "Co", "Co", "Co", "Co", "Te", "Te", "Te", "Te", "Te", "Te", "Te", "Te", "Te", "Te", "Te", "Te"], "fractional_positions": [[0.033, 0.250, 0.160], [0.467, 0.750, 0.660], [0.533, 0.250, 0.340], [0.967, 0.750, 0.840], [0.146, 0.750, 0.438], [0.354, 0.250, 0.938], [0.646, 0.750, 0.062], [0.854, 0.250, 0.562], [0.149, 0.250, 0.626], [0.351, 0.750, 0.126], [0.649, 0.250, 0.874], [0.851, 0.750, 0.374], [0.033, 0.750, 0.615], [0.200, 0.750, 0.007], [0.234, 0.250, 0.770], [0.266, 0.750, 0.270], [0.300, 0.250, 0.507], [0.467, 0.250, 0.115], [0.533, 0.750, 0.885], [0.700, 0.750, 0.493], [0.734, 0.250, 0.730], [0.766, 0.750, 0.230], [0.800, 0.250, 0.993], [0.967, 0.250, 0.385]], "e_above_lowest_polymorph_ev_per_fu": 0.47, "spacegroup": "No. 62"}


{"formula": "Na2CoAgCl6", "functional": "PBE-GGA", "state": "relaxed", "lattice_angstrom": [[0.000, 4.852, 4.852], [4.852, 0.000, 4.852], [4.852, 4.852, 0.000]], "species": ["Na", "Na", "Co", "Ag", "Cl", "Cl", "Cl", "Cl", "Cl", "Cl"], "fractional_positions": [[0.250, 0.250, 0.250], [0.750, 0.750, 0.750], [0.000, 0.000, 0.000], [0.500, 0.500, 0.500], [0.233, 0.233, 0.767], [0.233, 0.767, 0.233], [0.233, 0.767, 0.767], [0.767, 0.233, 0.233], [0.767, 0.233, 0.767], [0.767, 0.767, 0.233]], "spacegroup": "No. 225"}


{"formula": "LaFeSb2Pd", "functional": "PBE-GGA", "state": "relaxed", "lattice_angstrom": [[4.585, 0.000, 0.000], [0.000, 4.585, 0.000], [0.000, 0.000, 10.167]], "species": ["La", "La", "Fe", "Fe", "Sb", "Sb", "Sb", "Sb", "Pd", "Pd"], "fractional_positions": [[0.250, 0.250, 0.248], [0.750, 0.750, 0.752], [0.250, 0.250, 0.888], [0.750, 0.750, 0.112], [0.250, 0.250, 0.646], [0.250, 0.750, 0.000], [0.750, 0.250, 0.000], [0.750, 0.750, 0.354], [0.250, 0.750, 0.500], [0.750, 0.250, 0.500]], "spacegroup": "No. 129"}


{"formula": "Sb5Os3Au", "functional": "PBE-GGA", "state": "relaxed", "lattice_angstrom": [[5.627, 0.000, 0.000], [-2.813, 4.873, 0.000], [0.000, 0.000, 7.768]], "species": ["Sb", "Sb", "Sb", "Sb", "Sb", "Os", "Os", "Os", "Au"], "fractional_positions": [[0.000, 0.000, 0.000], [0.333, 0.667, 0.281], [0.333, 0.667, 0.719], [0.667, 0.333, 0.281], [0.667, 0.333, 0.719], [0.000, 0.500, 0.000], [0.500, 0.000, 0.000], [0.500, 0.500, 0.000], [0.000, 0.000, 0.500]], "spacegroup": "No. 191"}


{"formula": "ThP", "functional": "PBE-GGA", "state": "relaxed", "lattice_angstrom": [[6.433, 0.000, 0.000], [0.000, 6.433, 0.000], [0.000, 0.000, 6.433]], "species": ["Th", "Th", "Th", "Th", "P", "P", "P", "P"], "fractional_positions": [[0.000, 0.000, 0.000], [0.000, 0.500, 0.500], [0.500, 0.000, 0.500], [0.500, 0.500, 0.000], [0.250, 0.250, 0.250], [0.250, 0.750, 0.750], [0.750, 0.250, 0.750], [0.750, 0.750, 0.250]], "spacegroup": "No. 216"}


{"formula": "DyFe2GeP", "functional": "PBE-GGA", "state": "relaxed", "lattice_angstrom": [[3.920, 0.000, 0.000], [0.000, 3.920, 0.000], [0.000, 0.000, 9.680]], "species": ["Dy", "Dy", "Fe", "Fe", "Fe", "Fe", "Ge", "Ge", "P", "P"], "fractional_positions": [[0.000, 0.000, 0.000], [0.500, 0.500, 0.500], [0.000, 0.500, 0.261], [0.000, 0.500, 0.761], [0.500, 0.000, 0.261], [0.500, 0.000, 0.761], [0.000, 0.000, 0.629], [0.500, 0.500, 0.129], [0.000, 0.000, 0.364], [0.500, 0.500, 0.864]], "spacegroup": "No. 107"}


{"formula": "PaHgSb", "functional": "PBE-GGA", "state": "relaxed", "lattice_angstrom": [[7.049, 0.000, 0.000], [0.000, 7.049, 0.000], [0.000, 0.000, 7.049]], "species": ["Pa", "Pa", "Pa", "Pa", "Hg", "Hg", "Hg", "Hg", "Sb", "Sb", "Sb", "Sb"], "fractional_positions": [[0.000, 0.000, 0.000], [0.000, 0.500, 0.500], [0.500, 0.000, 0.500], [0.500, 0.500, 0.000], [0.250, 0.250, 0.250], [0.250, 0.750, 0.750], [0.750, 0.250, 0.750], [0.750, 0.750, 0.250], [0.000, 0.000, 0.500], [0.000, 0.500, 0.000], [0.500, 0.000, 0.000], [0.500, 0.500, 0.500]], "e_above_lowest_polymorph_ev_per_fu": 0.64, "spacegroup": "No. 216"}


{"formula": "CdBSb2", "functional": "PBE-GGA", "state": "relaxed", "lattice_angstrom": [[7.111, 0.000, 0.000], [0.000, 7.111, 0.000], [0.000, 0.000, 7.111]], "species": ["Cd", "Cd", "Cd", "Cd", "B", "B", "B", "B", "Sb", "Sb", "Sb", "Sb", "Sb", "Sb", "Sb", "Sb"], "fractional_positions": [[0.000, 0.000, 0.000], [0.000, 0.500, 0.500], [0.500, 0.000, 0.500], [0.500, 0.500, 0.000], [0.250, 0.250, 0.750], [0.250, 0.750, 0.250], [0.750, 0.250, 0.250], [0.750, 0.750, 0.750], [0.000, 0.000, 0.500], [0.000, 0.500, 0.000], [0.250, 0.250, 0.250], [0.250, 0.750, 0.750], [0.500, 0.000, 0.000], [0.500, 0.500, 0.500], [0.750, 0.250, 0.750], [0.750, 0.750, 0.250]], "spacegroup": "No. 216"}


{"formula": "CoCuAsOs", "functional": "PBE-GGA", "state": "relaxed", "lattice_angstrom": [[5.881, 0.000, 0.000], [0.000, 5.881, 0.000], [0.000, 0.000, 5.881]], "species": ["Co", "Co", "Co", "Co", "Cu", "Cu", "Cu", "Cu", "As", "As", "As", "As", "Os", "Os", "Os", "Os"], "fractional_positions": [[0.000, 0.000, 0.000], [0.000, 0.500, 0.500], [0.500, 0.000, 0.500], [0.500, 0.500, 0.000], [0.250, 0.250, 0.750], [0.250, 0.750, 0.250], [0.750, 0.250, 0.250], [0.750, 0.750, 0.750], [0.250, 0.250, 0.250], [0.250, 0.750, 0.750], [0.750, 0.250, 0.750], [0.750, 0.750, 0.250], [0.000, 0.000, 0.500], [0.000, 0.500, 0.000], [0.500, 0.000, 0.000], [0.500, 0.500, 0.500]], "e_above_lowest_polymorph_ev_per_fu": 0.00, "spacegroup": "No. 216"}


Sequential final energy output: -6.792, -2.412, -3.522, -9.621, -9.198, -9.927, -3.578, -4.271, -4.566, -6.370, -4.022, -4.455, -3.284, -5.972, -5.964, -7.146, -7.012, -4.379, -2.918, -6.431 eV per atom